Density functional theory data (PBE-GGA) for Pm2TlOs after structural relaxation.

Output
- Total moment: 0.0 μB per formula unit
- DOS at the Fermi energy: 2.765 states/eV per cell
- SG: P4/mmm
- DFT formation energy: -197.1 meV per atom
- Excess energy over the best structure of this formula in the dataset: 0 meV per atom
- Energy: -5.971 eV per atom

a b c (Å): 3.448 3.448 8.737
angles (deg): 90.00 90.00 90.00
Fractional positions:
Pm 0.000 0.000 0.199
Pm 0.000 0.000 0.801
Tl 0.500 0.500 0.500
Os 0.500 0.500 0.000